K2InAg2 | PBE | relaxed

Its energy relative to the elements is 0.2216 eV/atom. As for the total energy: -19.1 eV/cell. The calculated volume is 32.921 Å³ per atom. The calculation puts the calculated density at 4124 kg/m3. The energy above the most stable polymorph in this dataset comes out at 258 meV per atom.

The structure belongs to space group P4/mbm (No. 127); the cell edges are 9.9021, 9.9021 and 3.3575 Å and the angles 90.00°, 90.00° and 90.00°. The distinct sites, in fractional coordinates, are K at (0.1874, 0.3126, 0.0000), In at (0.0000, 0.0000, 0.0000) and Ag at (0.1011, 0.6011, 0.5000).

***

YTa2 | PBE | relaxed

Its energy relative to the elements is 0.2698 eV/atom. As for the total energy: -234.9 eV/cell. The calculated volume is 22.327 Å³ per atom. The calculation puts the calculated density at 11176 kg/m3. The energy above the most stable polymorph in this dataset comes out at 24 meV per atom.

The structure belongs to space group Fd-3m (No. 227, origin choice 2); the cell edges are 8.1223, 8.1223 and 8.1223 Å and the angles 90.00°, 90.00° and 90.00°. The distinct sites, in fractional coordinates, are Y at (0.1250, 0.1250, 0.1250) and Ta at (0.0000, 0.0000, 0.5000).

***

MgRu2Se | PBE | relaxed

The value obtained for the formation energy from raw total energies is 4.6 kJ/mol of atoms. As for the total energy: -23.4 eV/cell. The calculated volume is 14.957 Å³ per atom. The calculation puts the calculated density at 8476 kg/m3. The energy above the most stable polymorph in this dataset comes out at 12 meV per atom.

The structure belongs to space group P4/mmm (No. 123); the cell edges are 3.0733, 3.0733 and 6.3345 Å and the angles 90.00°, 90.00° and 90.00°. The distinct sites, in fractional coordinates, are Mg at (0.0000, 0.0000, 0.0000), Ru at (0.5000, 0.5000, 0.2687) and Se at (0.0000, 0.0000, 0.5000).

***

NdSmZnPt | PBE | relaxed

Its energy relative to the elements is -0.7386 eV/atom. As for the total energy: -39.5 eV/cell. The calculated volume is 24.641 Å³ per atom. The calculation puts the calculated density at 9352 kg/m3. The energy above the most stable polymorph in this dataset comes out at 0 meV per atom.

The structure belongs to space group Amm2 (No. 38); the cell edges are 4.5256, 3.9552 and 11.0131 Å and the angles 90.00°, 90.00° and 90.00°. The distinct sites, in fractional coordinates, are Nd at (0.0000, 0.0000, 0.0000), Sm at (0.5000, 0.0000, 0.7205), Zn at (0.5000, 0.0000, 0.4336) and Pt at (0.0000, 0.0000, 0.2877).

***

K2AlCu | PBE | relaxed

Its energy relative to the elements is 0.5538 eV/atom. As for the total energy: -7.8 eV/cell. The calculated volume is 31.705 Å³ per atom. The calculation puts the calculated density at 2209 kg/m3.

The structure belongs to space group Pmmm (No. 47); the cell edges are 5.0011, 5.0289 and 5.0427 Å and the angles 90.00°, 90.00° and 90.00°. The distinct sites, in fractional coordinates, are K at (0.0000, 0.0000, 0.0000), K at (0.5000, 0.5000, 0.0000), Al at (0.0000, 0.5000, 0.5000) and Cu at (0.5000, 0.0000, 0.5000).

***

UPb2Se5 | PBE | relaxed

The value obtained for the formation energy from raw total energies is -67.6 kJ/mol of atoms. As for the total energy: -166.9 eV/cell. The calculated volume is 26.838 Å³ per atom. The calculation puts the calculated density at 8099 kg/m3.

The structure belongs to space group Pnma (No. 62); the cell edges are 12.6406, 8.4623 and 8.0287 Å and the angles 90.00°, 90.00° and 90.00°. The distinct sites, in fractional coordinates, are U at (0.0049, 0.2500, 0.0663), Pb at (0.1739, 0.5101, 0.5590), Se at (0.0052, 0.2500, 0.4298), Se at (0.0758, 0.5438, 0.1694), Se at (0.1890, 0.2500, 0.8744) and Se at (0.2054, 0.7500, 0.8455).

***

HoCuNi4Ge2 | PBE | relaxed

Its energy relative to the elements is -0.3603 eV/atom. As for the total energy: -131.7 eV/cell. The calculated volume is 14.205 Å³ per atom. The calculation puts the calculated density at 8892 kg/m3.

The structure belongs to space group R-3m (No. 166, hexagonal axes); the cell edges are 4.0053, 4.0053 and 24.5397 Å and the angles 90.00°, 90.00° and 120.00°. The distinct sites, in fractional coordinates, are Ho at (0.0000, 0.0000, 0.0000), Cu at (0.0000, 0.0000, 0.5000), Ni at (0.0000, 0.0000, 0.1318), Ni at (0.0000, 0.0000, 0.4044) and Ge at (0.0000, 0.0000, 0.2406).

***

PbCI2 | PBE | relaxed

The value obtained for the formation energy from raw total energies is 136.7 kJ/mol of atoms. As for the total energy: -41.5 eV/cell. The calculated volume is 30.319 Å³ per atom. The calculation puts the calculated density at 6477 kg/m3. The energy above the most stable polymorph in this dataset comes out at 134 meV per atom.

The structure belongs to space group Fm-3m (No. 225); the cell edges are 7.8574, 7.8574 and 7.8574 Å and the angles 90.00°, 90.00° and 90.00°. The distinct sites, in fractional coordinates, are Pb at (0.0000, 0.0000, 0.0000), C at (0.0000, 0.0000, 0.5000) and I at (0.2500, 0.2500, 0.2500).

***

KTlCd2 | PBE | relaxed

Its energy relative to the elements is 0.0887 eV/atom. As for the total energy: -14.8 eV/cell. The calculated volume is 32.012 Å³ per atom. The calculation puts the calculated density at 6073 kg/m3. The energy above the most stable polymorph in this dataset comes out at 155 meV per atom.

The structure belongs to space group R-3m (No. 166, hexagonal axes); the cell edges are 3.7024, 3.7024 and 32.3589 Å and the angles 90.00°, 90.00° and 120.00°. The distinct sites, in fractional coordinates, are K at (0.0000, 0.0000, 0.0000), Tl at (0.0000, 0.0000, 0.5000) and Cd at (0.0000, 0.0000, 0.2427).

***

NiMo2Os | PBE | relaxed

Its energy relative to the elements is 0.2007 eV/atom. As for the total energy: -151.5 eV/cell. The calculated volume is 14.415 Å³ per atom. The calculation puts the calculated density at 12695 kg/m3. The energy above the most stable polymorph in this dataset comes out at 211 meV per atom.

The structure belongs to space group F-43m (No. 216); the cell edges are 6.1326, 6.1326 and 6.1326 Å and the angles 90.00°, 90.00° and 90.00°. The distinct sites, in fractional coordinates, are Ni at (0.0000, 0.0000, 0.0000), Mo at (0.0000, 0.0000, 0.5000), Mo at (0.2500, 0.2500, 0.2500) and Os at (0.2500, 0.2500, 0.7500).

***

Cu2Ag2PdAu4 | PBE | relaxed

Its energy relative to the elements is 0.0368 eV/atom. As for the total energy: -31.9 eV/cell. The calculated volume is 16.875 Å³ per atom. The calculation puts the calculated density at 13526 kg/m3.

The structure belongs to space group P3m1 (No. 156); the cell edges are 2.8507, 2.8507 and 21.5811 Å and the angles 90.00°, 90.00° and 120.00°. The distinct sites, in fractional coordinates, are Cu at (0.0000, 0.0000, 0.0000), Cu at (0.0000, 0.0000, 0.1918), Ag at (0.0000, 0.0000, 0.4102), Ag at (0.3333, 0.6667, 0.7626), Pd at (0.3333, 0.6667, 0.0958), Au at (0.0000, 0.0000, 0.6466), Au at (0.0000, 0.0000, 0.8798), Au at (0.3333, 0.6667, 0.2938) and Au at (0.3333, 0.6667, 0.5259).

***

CrNiH3 | PBE | relaxed

As for the total energy: -23.7 eV/cell. The calculated volume is 7.029 Å³ per atom. The calculation puts the calculated density at 5373 kg/m3.

The structure belongs to space group Pm-3m (No. 221); the cell edges are 3.2756, 3.2756 and 3.2756 Å and the angles 90.00°, 90.00° and 90.00°. The distinct sites, in fractional coordinates, are Cr at (0.0000, 0.0000, 0.0000), Ni at (0.5000, 0.5000, 0.5000) and H at (0.0000, 0.0000, 0.5000).

***

SnPd | PBE | relaxed

Its energy relative to the elements is -0.3589 eV/atom. As for the total energy: -59.5 eV/cell. The calculated volume is 19.452 Å³ per atom. The calculation puts the calculated density at 9609 kg/m3.

The structure belongs to space group Pmmn (No. 59, origin choice 2); the cell edges are 3.2455, 15.5103 and 4.6371 Å and the angles 90.00°, 90.00° and 90.00°. The distinct sites, in fractional coordinates, are Sn at (0.2500, 0.0839, 0.1202), Sn at (0.2500, 0.7500, 0.6260), Pd at (0.2500, 0.2500, 0.8759) and Pd at (0.2500, 0.5839, 0.3808).

***

TlNi4Se8 | PBE | relaxed

The value obtained for the formation energy from raw total energies is -24.5 kJ/mol of atoms. As for the total energy: -170.0 eV/cell. The calculated volume is 25.424 Å³ per atom. The calculation puts the calculated density at 5380 kg/m3.

The structure belongs to space group R-3m (No. 166, hexagonal axes); the cell edges are 7.1350, 7.1350 and 22.4897 Å and the angles 90.00°, 90.00° and 120.00°. The distinct sites, in fractional coordinates, are Tl at (0.0000, 0.0000, 0.0000), Ni at (0.0000, 0.0000, 0.5000), Ni at (0.0000, 0.5000, 0.5000), Se at (0.0000, 0.0000, 0.2216) and Se at (0.9996, 0.4998, 0.2220).

***

Sc3ZnRe | PBE | relaxed

Its energy relative to the elements is 0.9207 eV/atom. As for the total energy: -28.1 eV/cell. The calculated volume is 22.647 Å³ per atom. The calculation puts the calculated density at 5668 kg/m3. The energy above the most stable polymorph in this dataset comes out at 580 meV per atom.

The structure belongs to space group Pm-3m (No. 221); the cell edges are 4.8379, 4.8379 and 4.8379 Å and the angles 90.00°, 90.00° and 90.00°. The distinct sites, in fractional coordinates, are Sc at (0.0000, 0.0000, 0.5000), Zn at (0.0000, 0.0000, 0.0000) and Re at (0.5000, 0.5000, 0.5000).

***

Bi2Te2Ir | PBE | relaxed

The value obtained for the formation energy from raw total energies is 22.7 kJ/mol of atoms. As for the total energy: -43.5 eV/cell. The calculated volume is 30.182 Å³ per atom. The calculation puts the calculated density at 9522 kg/m3. The energy above the most stable polymorph in this dataset comes out at 0 meV per atom.

The structure belongs to space group P4/mbm (No. 127); the cell edges are 6.8588, 6.8588 and 6.4157 Å and the angles 90.00°, 90.00° and 90.00°. The distinct sites, in fractional coordinates, are Bi at (0.1973, 0.3027, 0.0000), Te at (0.1583, 0.3417, 0.5000) and Ir at (0.0000, 0.0000, 0.5000).

***

La2Sm7In2 | PBE | relaxed

Its energy relative to the elements is -0.0367 eV/atom. As for the total energy: -97.5 eV/cell. The calculated volume is 33.220 Å³ per atom. The calculation puts the calculated density at 7089 kg/m3.

The structure belongs to space group C2/m (No. 12); the cell edges are 9.1446, 9.4916 and 8.7609 Å and the angles 90.00°, 106.04° and 90.00°. The distinct sites, in fractional coordinates, are La at (0.0000, 0.1810, 0.0000), Sm at (0.0000, 0.0000, 0.5000), Sm at (0.1806, 0.3037, 0.6625), Sm at (0.1883, 0.5000, 0.0113) and In at (0.1190, 0.5000, 0.3398).

***

Tm2VTc3 | PBE | relaxed

Its energy relative to the elements is -0.2006 eV/atom. As for the total energy: -151.1 eV/cell. The calculated volume is 18.102 Å³ per atom. The calculation puts the calculated density at 10439 kg/m3.

The structure belongs to space group R-3m (No. 166, hexagonal axes); the cell edges are 5.3697, 5.3697 and 13.0540 Å and the angles 90.00°, 90.00° and 120.00°. The distinct sites, in fractional coordinates, are Tm at (0.0000, 0.0000, 0.1237), V at (0.0000, 0.0000, 0.5000) and Tc at (0.0000, 0.5000, 0.0000).

***

NaGaSN2 | PBE | relaxed

The value obtained for the formation energy from raw total energies is 174.1 kJ/mol of atoms. As for the total energy: -16.1 eV/cell. The calculated volume is 21.406 Å³ per atom. The calculation puts the calculated density at 2371 kg/m3. The energy above the most stable polymorph in this dataset comes out at 970 meV per atom.

The structure belongs to space group P4/mmm (No. 123); the cell edges are 4.4687, 4.4687 and 5.3596 Å and the angles 90.00°, 90.00° and 90.00°. The distinct sites, in fractional coordinates, are Na at (0.0000, 0.0000, 0.0000), Ga at (0.5000, 0.5000, 0.5000), S at (0.0000, 0.0000, 0.5000) and N at (0.0000, 0.5000, 0.0000).

***

PmNbCoN3 | PBE | relaxed

The value obtained for the formation energy from raw total energies is -78.7 kJ/mol of atoms. As for the total energy: -103.6 eV/cell. The calculated volume is 12.697 Å³ per atom. The calculation puts the calculated density at 7386 kg/m3.

The structure belongs to space group P2_1/m (No. 11); the cell edges are 6.7831, 3.2057 and 7.2653 Å and the angles 90.00°, 105.32° and 90.00°. The distinct sites, in fractional coordinates, are Pm at (0.1952, 0.2500, 0.2196), Nb at (0.3295, 0.7500, 0.8447), Co at (0.1021, 0.2500, 0.5961), N at (0.1197, 0.2500, 0.8686), N at (0.1998, 0.7500, 0.5032) and N at (0.4427, 0.7500, 0.1477).